1.
Below is crystalline SiTeSe at its relaxed geometry, with properties calculated at the GGA-PBE level.

Cell lengths 4.830, 4.830, 4.830 Å; angles 60.00, 60.00, 60.00 degrees
Fractional coordinates of all 3 atoms:
Si: 0.000 0.000 0.000
Te: 0.250 0.250 0.250
Se: 0.500 0.500 0.500


2.
Below is crystalline CsPbSI2 at its relaxed geometry, with properties calculated at the GGA-PBE level.

Cell lengths 7.033, 7.033, 5.104 Å; angles 90.00, 90.00, 90.00 degrees
Fractional coordinates of all 5 atoms:
Cs: 0.000 0.000 0.000
Pb: 0.500 0.500 0.000
S: 0.500 0.500 0.500
I: 0.000 0.500 0.500
I: 0.500 0.000 0.500


no.,DFT total energy (eV per atom),polymorph energy (0 for the lowest one) (eV/f.u.)
1,-3.410,2.322
2,-2.676,1.854